A plane-wave DFT calculation with PBE was carried out for an optimized crystal structure of K2CaScBr6.

Output
Calculated total energy ... -74.871 eV/cell
Fermi-level density of states ... 5.5 states/eV/f.u.
Symmetry ... Pmmn (59)
Formation energy without anion corrections ... -1.687 eV per atom

Cell: 7.8139 8.0020 11.1927 Å, 90.00 90.00 90.00°
Last column: nearest neighbours and their distance in Å.
Element x y z (fractional)
1 K 0.5000 0.7820 0.2180  7 Br 3.61-3.92
2 K 0.0000 0.2180 0.7180  7 Br 3.61-3.92
3 K 0.5000 0.7820 0.7820  7 Br 3.61-3.92
4 K 0.0000 0.2180 0.2820  7 Br 3.61-3.92
5 Ca 0.0000 0.7368 0.5000  6 Br 2.85-2.88
6 Ca 0.5000 0.2632 0.0000  6 Br 2.85-2.88
7 Sc 0.5000 0.2411 0.5000  6 Br 2.72-2.74
8 Sc 0.0000 0.7589 0.0000  6 Br 2.72-2.74
9 Br 0.5000 0.2355 0.2554  1 Sc 2.74, 1 Ca 2.87
10 Br 0.5000 0.2355 0.7446  1 Sc 2.74, 1 Ca 2.87
11 Br 0.0000 0.7645 0.2446  1 Sc 2.74, 1 Ca 2.87
12 Br 0.0000 0.7645 0.7554  1 Sc 2.74, 1 Ca 2.87
13 Br 0.2544 0.9964 0.5000  1 Sc 2.74, 1 Ca 2.88
14 Br 0.7456 0.9964 0.5000  1 Sc 2.74, 1 Ca 2.88
15 Br 0.2481 0.4762 0.5000  1 Sc 2.72, 1 Ca 2.85
16 Br 0.7519 0.4762 0.5000  1 Sc 2.72, 1 Ca 2.85
17 Br 0.7481 0.5238 0.0000  1 Sc 2.72, 1 Ca 2.85
18 Br 0.2519 0.5238 0.0000  1 Sc 2.72, 1 Ca 2.85
19 Br 0.2456 0.0036 0.0000  1 Sc 2.74, 1 Ca 2.88
20 Br 0.7544 0.0036 0.0000  1 Sc 2.74, 1 Ca 2.88



A plane-wave DFT calculation with PBE was carried out for an optimized crystal structure of PmZnPd2.

Output
Calculated total energy ... -18.817 eV/cell
Fermi-level density of states ... 1.8 states/eV/f.u.
Symmetry ... P4/mmm (123)
Energy of formation from the pure elements ... -58.05 kJ per mole of atoms

Cell: 3.3772 3.3772 6.5865 Å, 90.00 90.00 90.00°
Last column: nearest neighbours and their distance in Å.
Element x y z (fractional)
1 Zn 0.5000 0.5000 0.0000  8 Pd 2.76
2 Pd 0.0000 0.0000 0.7904  4 Zn 2.76, 1 Pd 2.76, 4 Pm 3.06
3 Pd 0.0000 0.0000 0.2096  4 Zn 2.76, 1 Pd 2.76, 4 Pm 3.06
4 Pm 0.5000 0.5000 0.5000  8 Pd 3.06, 2 Zn 3.29, 4 Pm 3.38



A plane-wave DFT calculation with PBE was carried out for an optimized crystal structure of Al2InAu7.

Output
Calculated total energy ... -34.296 eV/cell
Fermi-level density of states ... 3.7 states/eV/f.u.
Energy relative to the lowest polymorph listed for this composition ... 1.257 eV per formula unit
Symmetry ... Cmmm (65)
Energy of formation from the pure elements ... -10.91 kJ per mole of atoms

Cell: 4.5528 7.5275 7.5275 Å, 120.37 90.00 90.00°
Last column: nearest neighbours and their distance in Å.
Element x y z (fractional)
1 Al 0.5000 0.6983 0.3017  7 Au 2.52-2.81
2 Al 0.5000 0.3017 0.6983  7 Au 2.52-2.81
3 In 0.0000 0.0000 0.0000  10 Au 2.85-3.08
4 Au 0.0000 0.7815 0.2185  2 Al 2.52
5 Au 0.0000 0.2185 0.7815  2 Al 2.52
6 Au 0.5000 0.0727 0.3045  2 Al 2.57-2.81, 2 Au 2.78-2.82
7 Au 0.5000 0.9273 0.6955  2 Al 2.57-2.81, 2 Au 2.78-2.82
8 Au 0.5000 0.3045 0.0727  2 Al 2.57-2.81, 2 Au 2.78-2.82
9 Au 0.5000 0.6955 0.9273  2 Al 2.57-2.81, 2 Au 2.78-2.82
10 Au 0.5000 0.5000 0.5000  2 Al 2.59, 4 Au 2.78



A plane-wave DFT calculation with PBE was carried out for an optimized crystal structure of Nd8ZnP3I4.

Output
Calculated total energy ... -80.296 eV/cell
Fermi-level density of states ... 9.2 states/eV/f.u.
Symmetry ... R-3m (166)
Formation energy without anion corrections ... -1.153 eV per atom

Cell: 8.4890 9.1464 8.4893 Å, 117.65 120.00 90.00°
Last column: nearest neighbours and their distance in Å.
Element x y z (fractional)
1 Nd 0.2342 0.6955 0.9613  2 P 2.86, 1 Zn 2.91
2 Nd 0.2342 0.6955 0.4685  2 P 2.86, 1 Zn 2.91
3 Nd 0.2704 0.3112 0.5408  3 P 2.85
4 Nd 0.7271 0.6955 0.9613  2 P 2.86, 1 Zn 2.91
5 Nd 0.2729 0.3045 0.0387  2 P 2.86, 1 Zn 2.91
6 Nd 0.7296 0.6888 0.4592  3 P 2.85
7 Nd 0.7658 0.3045 0.5315  2 P 2.86, 1 Zn 2.91
8 Nd 0.7658 0.3045 0.0387  2 P 2.86, 1 Zn 2.91
9 Zn 0.0000 0.5000 0.0000  6 Nd 2.91
10 P 0.5000 0.5000 0.0000  6 Nd 2.85-2.86
11 P 0.5000 0.5000 0.5000  6 Nd 2.85-2.86
12 P 0.0000 0.5000 0.5000  6 Nd 2.85-2.86
13 I 0.5000 0.0000 0.0000  6 Nd 3.37
14 I 0.5000 0.0000 0.5000  6 Nd 3.41-3.43
15 I 0.0000 0.0000 0.0000  6 Nd 3.41-3.43
16 I 0.0000 0.0000 0.5000  6 Nd 3.41-3.43



A plane-wave DFT calculation with PBE was carried out for an optimized crystal structure of LiCu2BiO4.

Output
Calculated total energy ... -84.199 eV/cell
Fermi-level density of states ... 4.1 states/eV/f.u.
Symmetry ... P4/nmm (129)
Formation energy without anion corrections ... -1.035 eV per atom

Cell: 6.9182 6.9182 4.3024 Å, 90.00 90.00 90.00°
Last column: nearest neighbours and their distance in Å.
Element x y z (fractional)
1 Li 0.0000 0.0000 0.5000  4 O 2.01
2 Li 0.5000 0.5000 0.5000  4 O 2.01
3 Cu 0.2500 0.2500 0.0000  4 O 1.96
4 Cu 0.2500 0.7500 0.0000  4 O 1.96
5 Cu 0.7500 0.7500 0.0000  4 O 1.96
6 Cu 0.7500 0.2500 0.0000  4 O 1.96
7 Bi 0.0000 0.5000 0.4807  4 O 2.21
8 Bi 0.5000 0.0000 0.5193  4 O 2.21
9 O 0.2285 0.0000 0.7893  2 Cu 1.96, 1 Li 2.01
10 O 0.0000 0.7715 0.2107  2 Cu 1.96, 1 Li 2.01
11 O 0.7715 0.0000 0.7893  2 Cu 1.96, 1 Li 2.01
12 O 0.2715 0.5000 0.2107  2 Cu 1.96, 1 Li 2.01
13 O 0.0000 0.2285 0.2107  2 Cu 1.96, 1 Li 2.01
14 O 0.5000 0.2715 0.7893  2 Cu 1.96, 1 Li 2.01
15 O 0.7285 0.5000 0.2107  2 Cu 1.96, 1 Li 2.01
16 O 0.5000 0.7285 0.7893  2 Cu 1.96, 1 Li 2.01



A plane-wave DFT calculation with PBE was carried out for an optimized crystal structure of KTlCuCl5.

Output
Calculated total energy ... -49.315 eV/cell
Fermi-level density of states ... 5.1 states/eV/f.u.
Symmetry ... C2/c (15)
Formation energy without anion corrections ... -0.983 eV per atom

Cell: 7.3471 7.3471 10.0790 Å, 104.05 104.05 106.73°
Last column: nearest neighbours and their distance in Å.
Element x y z (fractional)
1 K 0.3444 0.6556 0.2500  5 Cl 3.12-3.23
2 K 0.6556 0.3444 0.7500  5 Cl 3.12-3.23
3 Tl 0.0000 0.0000 0.5000  6 Cl 2.69-2.73
4 Tl 0.0000 0.0000 0.0000  6 Cl 2.69-2.73
5 Cu 0.6907 0.3093 0.2500  4 Cl 2.29-2.32
6 Cu 0.3093 0.6907 0.7500  4 Cl 2.29-2.32
7 Cl 0.0800 0.9200 0.2500  2 Tl 2.69
8 Cl 0.9200 0.0800 0.7500  2 Tl 2.69
9 Cl 0.8941 0.3161 0.1102  1 Cu 2.29
10 Cl 0.1059 0.6839 0.8898  1 Cu 2.29
11 Cl 0.6839 0.1059 0.3898  1 Cu 2.29
12 Cl 0.3161 0.8941 0.6102  1 Cu 2.29
13 Cl 0.7475 0.6136 0.4199  1 Cu 2.32
14 Cl 0.2525 0.3864 0.5801  1 Cu 2.32
15 Cl 0.3864 0.2525 0.0801  1 Cu 2.32
16 Cl 0.6136 0.7475 0.9199  1 Cu 2.32



A plane-wave DFT calculation with PBE was carried out for an optimized crystal structure of LiCa2CuF.

Output
Calculated total energy ... -17.277 eV/cell
Fermi-level density of states ... 4.6 states/eV/f.u.
Symmetry ... P4/mmm (123)
Formation energy without anion corrections ... -1.079 eV per atom

Cell: 5.0500 5.0500 3.8910 Å, 90.00 90.00 90.00°
Last column: nearest neighbours and their distance in Å.
Element x y z (fractional)
1 Ca 0.0000 0.5000 0.0000  2 F 2.53
2 Ca 0.5000 0.0000 0.0000  2 F 2.53
3 Li 0.0000 0.0000 0.5000  2 F 1.95
4 Cu 0.5000 0.5000 0.5000  8 Ca 3.19
5 F 0.0000 0.0000 0.0000  2 Li 1.95



> Look up the Fermi-level density of states of the fifth one.

4.1 states/eV/f.u.